No. 1
A relaxed Ca2MoP crystal, computed with PBE-GGA.

It has space group I-4m2 (No. 119), with a = 4.2887 Å, b = 4.2887 Å, c = 8.9785 Å, α = 90.00°, β = 90.00° and γ = 90.00°. Symmetry generates all atoms from Ca at (0.0000, 0.0000, 0.0000), Ca at (0.0000, 0.5000, 0.2500), Mo at (0.0000, 0.5000, 0.7500) and P at (0.0000, 0.0000, 0.5000).

The calculated volume comes out at 20.64 Å³ per atom. The value obtained for the electronic total energy is -37.63 eV per cell.

=====

No. 2
A relaxed Np2F13 crystal, computed with PBE-GGA.

It has space group P-1 (No. 2), with a = 5.8957 Å, b = 6.4555 Å, c = 8.2440 Å, α = 78.08°, β = 82.73° and γ = 66.90°. Symmetry generates all atoms from Np at (0.1344, 0.1305, 0.2464), F at (0.0000, 0.0000, 0.5000), F at (0.0960, 0.4135, 0.3293), F at (0.1665, 0.8441, 0.1710), F at (0.2173, 0.7248, 0.8222), F at (0.2550, 0.2485, 0.0185), F at (0.4522, 0.5380, 0.5777) and F at (0.4820, 0.9801, 0.3221).

The calculated volume comes out at 18.80 Å³ per atom. For the uncorrected formation energy, the calculation gives -41.07 eV per formula unit. The value obtained for the electronic total energy is -91.28 eV per cell.

=====

No. 3
A relaxed Li2SmRh crystal, computed with PBE-GGA.

It has space group Fm-3m (No. 225), with a = 6.5054 Å, b = 6.5054 Å, c = 6.5054 Å, α = 90.00°, β = 90.00° and γ = 90.00°. Symmetry generates all atoms from Li at (0.2500, 0.2500, 0.2500), Sm at (0.0000, 0.0000, 0.0000) and Rh at (0.0000, 0.0000, 0.5000).

The calculated volume comes out at 17.21 Å³ per atom. The value obtained for the electronic total energy is -65.52 eV per cell.

=====

No. 4
A relaxed TbAl2Pd crystal, computed with PBE-GGA.

It has space group R-3m (No. 166, hexagonal axes), with a = 4.2639 Å, b = 4.2639 Å, c = 15.3807 Å, α = 90.00°, β = 90.00° and γ = 120.00°. Symmetry generates all atoms from Tb at (0.0000, 0.0000, 0.0000), Al at (0.0000, 0.0000, 0.2109) and Pd at (0.0000, 0.0000, 0.5000).

The calculated volume comes out at 20.18 Å³ per atom. The value obtained for the electronic total energy is -60.00 eV per cell.